1.
Computed, not measured: a relaxed ZrAlSb2Te crystal at the PBEsol level of DFT.

Calculated values
The calculation puts the excess energy over the best structure of this formula in the dataset at 0.00 eV per formula unit. The raw formation energy comes out at 306 meV per atom.

Structure (POSCAR):
```
ZrAlSb2Te
1.0
5.499 0.000 0.000
0.000 5.499 0.000
0.000 0.000 5.475
Te Sb Al Zr
1 2 1 1
direct
0.000 0.000 0.500
0.000 0.500 0.000
0.500 0.000 0.000
0.500 0.500 0.500
0.000 0.000 0.000
```

2.
Computed, not measured: a relaxed Rb2Be2Si2O7 crystal at the PBEsol level of DFT.

Calculated values
The raw formation energy comes out at -2605 meV per atom.

Structure (POSCAR):
```
Rb2Be2Si2O7
1.0
5.149 0.000 0.000
0.000 8.291 0.000
0.000 0.000 8.922
O Rb Be Si
14 4 4 4
direct
0.418 0.764 0.977
0.714 0.257 0.690
0.284 0.753 0.267
0.216 0.253 0.767
0.716 0.247 0.267
0.918 0.736 0.477
0.784 0.747 0.767
0.000 0.000 0.633
0.082 0.264 0.477
0.786 0.757 0.190
0.286 0.743 0.690
0.582 0.236 0.977
0.500 0.500 0.133
0.214 0.243 0.190
0.500 0.000 0.447
0.000 0.500 0.947
0.000 0.000 0.997
0.500 0.500 0.497
0.497 0.755 0.811
0.003 0.255 0.311
0.997 0.745 0.311
0.503 0.245 0.811
0.503 0.301 0.142
0.003 0.199 0.642
0.997 0.801 0.642
0.497 0.699 0.142
```

3.
Computed, not measured: a relaxed TaMnOs2 crystal at the PBEsol level of DFT.

Calculated values
The formation energy from the elements is 36 meV/atom.

Structure (POSCAR):
```
TaMnOs2
1.0
-1.843 -0.857 1.905
-1.926 -2.798 -3.121
4.077 -2.298 0.872
Ta Os Mn
1 2 1
direct
0.500 0.489 0.000
0.257 0.779 0.513
0.000 0.989 0.000
0.743 0.243 0.487
```

4.
Computed, not measured: a relaxed CrPbO4 crystal at the PBEsol level of DFT.

Calculated values
The calculation puts the excess energy over the best structure of this formula in the dataset at 0.00 eV per formula unit. The raw formation energy comes out at -1646 meV per atom.

Structure (POSCAR):
```
CrPbO4
1.0
-6.242 -0.519 2.510
-0.851 -2.147 -6.709
1.405 -6.971 2.052
O Pb Cr
16 4 4
direct
0.984 0.124 0.846
0.186 0.532 0.902
0.686 0.032 0.598
0.715 0.112 0.214
0.060 0.251 0.509
0.785 0.388 0.714
0.814 0.468 0.098
0.484 0.624 0.654
0.560 0.751 0.991
0.314 0.968 0.402
0.016 0.876 0.154
0.940 0.749 0.491
0.516 0.376 0.346
0.215 0.612 0.286
0.440 0.249 0.009
0.285 0.888 0.786
0.400 0.221 0.643
0.600 0.779 0.357
0.900 0.721 0.857
0.100 0.279 0.143
0.882 0.201 0.665
0.118 0.799 0.335
0.618 0.299 0.165
0.382 0.701 0.835
```

5.
Computed, not measured: a relaxed Sb2AsOsSe crystal at the PBEsol level of DFT.

Calculated values
The raw formation energy comes out at 1604 meV per atom.

Structure (POSCAR):
```
Sb2AsOsSe
1.0
-2.673 -0.236 3.815
-0.348 -5.149 -0.562
4.240 -0.607 2.933
Se As Sb Os
1 1 2 1
direct
0.500 0.000 0.000
0.000 0.000 0.000
0.000 0.500 0.000
0.000 0.000 0.500
0.500 0.500 0.500
```

6.
Computed, not measured: a relaxed Li2MgSi crystal at the PBEsol level of DFT.

Calculated values
The raw formation energy comes out at -121 meV per atom.

Structure (POSCAR):
```
Li2MgSi
1.0
3.533 0.000 0.000
0.000 4.230 0.000
0.000 0.000 4.355
Mg Li Si
1 2 1
direct
0.500 0.000 0.500
0.000 0.000 0.000
0.500 0.500 0.000
0.000 0.500 0.500
```

7.
Computed, not measured: a relaxed YSc2Re crystal at the PBEsol level of DFT.

Calculated values
The formation energy from the elements is 622 meV/atom. The calculation puts the excess energy over the best structure of this formula in the dataset at 2.06 eV per formula unit.

Structure (POSCAR):
```
YSc2Re
1.0
-0.823 2.615 1.285
-2.087 0.018 2.194
6.688 -0.295 8.455
Y Sc Re
1 2 1
direct
0.500 0.500 0.500
0.079 0.079 0.763
0.921 0.921 0.237
0.000 0.000 0.000
```

8.
Computed, not measured: a relaxed MgZrCd2O crystal at the PBEsol level of DFT.

Calculated values
The raw formation energy comes out at 1464 meV per atom.

Structure (POSCAR):
```
MgZrCd2O
1.0
-1.036 5.198 -1.616
-4.721 -1.677 -2.367
-2.854 0.984 4.997
Cd O Mg Zr
2 1 1 1
direct
0.500 0.000 0.000
0.000 0.500 0.000
0.500 0.500 0.500
0.000 0.000 0.500
0.000 0.000 0.000
```

9.
Computed, not measured: a relaxed ZnCr crystal at the PBEsol level of DFT.

Calculated values
The formation energy from the elements is 320 meV/atom.

Structure (POSCAR):
```
ZnCr
1.0
2.547 0.000 0.000
-1.273 2.206 0.000
0.000 0.000 8.748
Cr Zn
2 2
direct
0.000 0.000 0.500
0.000 0.000 0.000
0.667 0.333 0.750
0.333 0.667 0.250
```

10.
Computed, not measured: a relaxed LiNdZn2 crystal at the PBEsol level of DFT.

Calculated values
The formation energy from the elements is -244 meV/atom.

Structure (POSCAR):
```
LiNdZn2
1.0
-3.110 -0.146 3.657
-4.593 -1.156 -0.798
-1.714 -4.218 1.527
Nd Zn Li
1 2 1
direct
0.000 0.000 0.000
0.250 0.250 0.250
0.750 0.750 0.750
0.500 0.500 0.500
```

11.
Computed, not measured: a relaxed ReSi4Mo crystal at the PBEsol level of DFT.

Calculated values
The calculation puts the excess energy over the best structure of this formula in the dataset at 5.26 eV per formula unit. The raw formation energy comes out at 407 meV per atom.

Structure (POSCAR):
```
ReSi4Mo
1.0
4.770 0.000 0.000
2.385 4.131 0.000
2.385 1.377 3.894
Si Mo Re
4 1 1
direct
0.375 0.375 0.375
0.375 0.375 0.874
0.874 0.375 0.375
0.375 0.874 0.375
0.750 0.750 0.750
0.000 0.000 0.000
```

12.
Computed, not measured: a relaxed AuSeIN2 crystal at the PBEsol level of DFT.

Calculated values
The raw formation energy comes out at 1683 meV per atom.

Structure (POSCAR):
```
AuSeIN2
1.0
-2.749 1.046 -2.512
1.061 -2.877 -2.358
-3.921 -3.699 2.750
N Au I Se
2 1 1 1
direct
0.000 0.500 0.000
0.500 0.000 0.000
0.500 0.500 0.500
0.000 0.000 0.000
0.000 0.000 0.500
```

Number 1: total magnetization 0.000 μB per atom. Number 2: total magnetization 0.000 μB per atom. Number 3: total magnetization 0.431 μB per atom. Number 4: total magnetization 0.000 μB per atom. Number 5: total magnetization 0.399 μB per atom. Number 6: total magnetization 0.000 μB per atom. Number 7: total magnetization 0.000 μB per atom. Number 8: total magnetization 0.070 μB per atom. Number 9: total magnetization 0.000 μB per atom. Number 10: total magnetization 0.000 μB per atom. Number 11: total magnetization 0.000 μB per atom. Number 12: total magnetization 0.000 μB per atom.